[1]
{
  "formula": "Y2Ge2Pd",
  "functional": "PBE",
  "state": "relaxed",
  "total_energy_ev_per_atom": -6.372,
  "m_tot_mub_per_cell": 0.00,
  "spacegroup": "P4/mbm, No. 127",
  "lattice_angstrom": [[6.882, 0.000, 0.000], [0.000, 6.882, 0.000], [0.000, 0.000, 4.401]],
  "species": ["Y", "Y", "Y", "Y", "Ge", "Ge", "Ge", "Ge", "Pd", "Pd"],
  "frac_coords": [[0.672, 0.828, 0.500], [0.172, 0.672, 0.500], [0.328, 0.172, 0.500], [0.828, 0.328, 0.500], [0.864, 0.636, 0.000], [0.136, 0.364, 0.000], [0.364, 0.864, 0.000], [0.636, 0.136, 0.000], [0.500, 0.500, 0.000], [0.000, 0.000, 0.000]]
}

---

[2]
{
  "formula": "YGe2Pd",
  "functional": "PBE",
  "state": "relaxed",
  "total_energy_ev_per_atom": -5.640,
  "m_tot_mub_per_cell": 0.11,
  "spacegroup": "F-43m, No. 216",
  "lattice_angstrom": [[-2.590, -3.409, -2.168], [-3.513, 1.220, -3.032], [0.516, -0.776, -4.707]],
  "species": ["Ge", "Ge", "Y", "Pd"],
  "frac_coords": [[0.000, 0.000, 0.000], [0.250, 0.250, 0.250], [0.750, 0.750, 0.750], [0.500, 0.500, 0.500]]
}